## a
{
  "formula": "SrSc2Br",
  "functional": "meta-GGA SCAN",
  "state": "single point on PBEsol structure",
  "dos_ef_per_ev_cell": 4.2,
  "lattice_angstrom": [[-0.613, 1.413, -3.264], [-3.450, -4.135, -1.141], [-4.187, 2.926, 2.053]],
  "species": ["Sc", "Sc", "Sr", "Br"],
  "fractional_positions": [[0.000, 0.000, 0.500], [0.000, 0.500, 0.000], [0.500, 0.500, 0.500], [0.500, 0.000, 0.000]]
}

---

## b
{
  "formula": "SrSc2Br",
  "functional": "meta-GGA SCAN",
  "state": "single point on PBEsol structure",
  "dos_ef_per_ev_cell": 2.4,
  "lattice_angstrom": [[-1.403, 3.131, 1.065], [-3.518, 0.252, 0.682], [-0.015, -1.304, 9.869]],
  "species": ["Sr", "Sc", "Sc", "Br"],
  "fractional_positions": [[0.508, 0.508, 0.475], [0.993, 0.993, 0.021], [0.740, 0.740, 0.780], [0.259, 0.259, 0.223]]
}

---

Energetically preferred structure: b | next structure: +760 meV per atom

---

## a
{
  "formula": "ScTaBr2",
  "functional": "meta-GGA SCAN",
  "state": "single point on PBEsol structure",
  "dos_ef_per_ev_cell": 3.8,
  "lattice_angstrom": [[3.178, 0.000, 0.000], [1.589, 2.752, 0.000], [1.589, 0.917, 8.802]],
  "species": ["Br", "Br", "Ta", "Sc"],
  "fractional_positions": [[0.253, 0.253, 0.240], [0.747, 0.747, 0.760], [0.000, 0.000, 0.000], [0.500, 0.500, 0.500]]
}

---

## b
{
  "formula": "ScTaBr2",
  "functional": "meta-GGA SCAN",
  "state": "single point on PBEsol structure",
  "dos_ef_per_ev_cell": 2.5,
  "lattice_angstrom": [[-1.827, -1.896, -1.626], [3.089, 0.493, -1.100], [2.872, -6.997, 4.933]],
  "species": ["Br", "Br", "Sc", "Ta"],
  "fractional_positions": [[0.000, 0.000, 0.758], [0.000, 0.000, 0.242], [0.500, 0.000, 0.500], [0.500, 0.000, 0.000]]
}

---

## c
{
  "formula": "ScTaBr2",
  "functional": "meta-GGA SCAN",
  "state": "single point on PBEsol structure",
  "dos_ef_per_ev_cell": 3.3,
  "lattice_angstrom": [[-1.521, -0.858, 2.792], [1.900, -3.093, 0.085], [4.582, 5.052, 4.048]],
  "species": ["Ta", "Br", "Br", "Sc"],
  "fractional_positions": [[0.500, 0.039, 0.704], [0.000, 0.170, 0.966], [0.500, 0.856, 0.336], [0.000, 0.435, 0.494]]
}

---

Energetically preferred structure: c | next structure: +478 meV per atom

---

## a
{
  "formula": "ScTa2Br",
  "functional": "meta-GGA SCAN",
  "state": "single point on PBEsol structure",
  "dos_ef_per_ev_cell": 3.1,
  "lattice_angstrom": [[3.154, 0.000, 0.000], [0.000, 4.638, -0.024], [-1.577, -1.008, 5.122]],
  "species": ["Ta", "Ta", "Br", "Sc"],
  "fractional_positions": [[0.243, 0.251, 0.486], [0.757, 0.749, 0.514], [0.500, 0.000, 0.000], [0.000, 0.500, 0.000]]
}

---

## b
{
  "formula": "ScTa2Br",
  "functional": "meta-GGA SCAN",
  "state": "single point on PBEsol structure",
  "dos_ef_per_ev_cell": 4.9,
  "lattice_angstrom": [[-3.255, -1.499, 1.373], [1.959, -1.625, 2.872], [-0.722, 4.194, 2.865]],
  "species": ["Br", "Ta", "Ta", "Sc"],
  "fractional_positions": [[0.500, 0.500, 0.500], [0.000, 0.500, 0.000], [0.500, 0.000, 0.000], [0.000, 0.000, 0.500]]
}

---

## c
{
  "formula": "ScTa2Br",
  "functional": "meta-GGA SCAN",
  "state": "single point on PBEsol structure",
  "dos_ef_per_ev_cell": 4.0,
  "lattice_angstrom": [[-0.665, 2.847, 0.756], [-1.761, -1.665, 4.718], [5.234, 1.368, -0.545]],
  "species": ["Ta", "Ta", "Br", "Sc"],
  "fractional_positions": [[0.000, 0.000, 0.500], [0.000, 0.500, 0.500], [0.500, 0.000, 0.000], [0.500, 0.500, 0.000]]
}

---

Energetically preferred structure: a | next structure: +154 meV per atom

---

## a
{
  "formula": "Sc2TeBr",
  "functional": "meta-GGA SCAN",
  "state": "single point on PBEsol structure",
  "dos_ef_per_ev_cell": 4.0,
  "lattice_angstrom": [[3.422, 0.470, 0.608], [-0.763, 4.819, 0.556], [-0.763, -0.677, 4.803]],
  "species": ["Sc", "Sc", "Te", "Br"],
  "fractional_positions": [[0.000, 0.000, 0.500], [0.000, 0.500, 0.000], [0.500, 0.500, 0.500], [0.500, 0.000, 0.000]]
}

---

## b
{
  "formula": "Sc2TeBr",
  "functional": "meta-GGA SCAN",
  "state": "single point on PBEsol structure",
  "dos_ef_per_ev_cell": 4.1,
  "lattice_angstrom": [[-2.679, -1.978, 1.065], [1.629, -0.566, 3.042], [-3.082, 5.629, 2.697]],
  "species": ["Sc", "Sc", "Br", "Te"],
  "fractional_positions": [[0.000, 0.000, 0.260], [0.000, 0.000, 0.740], [0.500, 0.500, 0.000], [0.500, 0.500, 0.500]]
}

---

## c
{
  "formula": "Sc2TeBr",
  "functional": "meta-GGA SCAN",
  "state": "single point on PBEsol structure",
  "dos_ef_per_ev_cell": 3.3,
  "lattice_angstrom": [[3.634, 0.000, 0.068], [0.000, 3.788, 0.000], [-0.187, 0.000, 6.798]],
  "species": ["Te", "Sc", "Sc", "Br"],
  "fractional_positions": [[0.500, 0.500, 0.000], [0.004, 0.000, 0.231], [0.996, 0.000, 0.769], [0.000, 0.500, 0.500]]
}

---

Energetically preferred structure: c | next structure: +60 meV per atom

---

## a
{
  "formula": "ScTeBr2",
  "functional": "meta-GGA SCAN",
  "state": "single point on PBEsol structure",
  "dos_ef_per_ev_cell": 2.5,
  "lattice_angstrom": [[3.742, 0.000, 0.000], [0.000, 3.742, 0.000], [0.000, 0.000, 7.558]],
  "species": ["Br", "Br", "Te", "Sc"],
  "fractional_positions": [[0.000, 0.000, 0.936], [0.500, 0.500, 0.305], [0.500, 0.500, 0.709], [0.000, 0.000, 0.551]]
}

---

## b
{
  "formula": "ScTeBr2",
  "functional": "meta-GGA SCAN",
  "state": "single point on PBEsol structure",
  "dos_ef_per_ev_cell": 1.6,
  "lattice_angstrom": [[-0.351, -2.272, 2.856], [4.200, -1.206, -0.443], [-0.075, 5.918, 4.699]],
  "species": ["Br", "Br", "Sc", "Te"],
  "fractional_positions": [[0.500, 0.591, 0.303], [0.000, 0.903, 0.934], [0.000, 0.724, 0.571], [0.500, 0.283, 0.692]]
}

---

Energetically preferred structure: b | next structure: +271 meV per atom

---

## a
{
  "formula": "Sc2TlBr",
  "functional": "meta-GGA SCAN",
  "state": "single point on PBEsol structure",
  "dos_ef_per_ev_cell": 1.8,
  "lattice_angstrom": [[3.305, 0.000, 0.000], [0.000, 3.305, 0.000], [0.000, 0.000, 7.735]],
  "species": ["Sc", "Sc", "Tl", "Br"],
  "fractional_positions": [[0.000, 0.000, 0.259], [0.000, 0.000, 0.741], [0.500, 0.500, 0.000], [0.500, 0.500, 0.500]]
}

---

## b
{
  "formula": "Sc2TlBr",
  "functional": "meta-GGA SCAN",
  "state": "single point on PBEsol structure",
  "dos_ef_per_ev_cell": 4.1,
  "lattice_angstrom": [[-2.519, 2.266, 0.603], [-1.795, -2.867, 3.274], [3.269, 2.561, 4.035]],
  "species": ["Sc", "Sc", "Tl", "Br"],
  "fractional_positions": [[0.000, 0.000, 0.000], [0.500, 0.000, 0.500], [0.500, 0.500, 0.000], [0.000, 0.500, 0.500]]
}

---

Energetically preferred structure: a | next structure: +226 meV per atom